1.
CdFeSn2Hg, relaxed, DFT GGA-PBE; DFT formation energy = 0.1228 eV per atom
1.0
4.8878 0.0000 0.0000
0.0000 4.8878 0.0000
0.0000 0.0000 5.2316
Cd Fe Sn Hg
1 1 2 1
direct
0.0000 0.0000 0.0000
0.0000 0.0000 0.5000
0.0000 0.5000 0.5000
0.5000 0.0000 0.5000
0.5000 0.5000 0.0000

2.
CdFeTc2Hg, relaxed, DFT GGA-PBE; DFT formation energy = 2.2779 eV per atom
1.0
5.1077 0.0000 0.0000
0.0000 5.1077 0.0000
0.0000 0.0000 5.0783
Cd Fe Tc Hg
1 1 2 1
direct
0.0000 0.0000 0.0000
0.5000 0.5000 0.0000
0.0000 0.5000 0.5000
0.5000 0.0000 0.5000
0.0000 0.0000 0.5000